DFT (GGA-PBE) results for crystalline Pm4HgBiC at its relaxed geometry.

```
data_Pm4HgBiC
_symmetry_space_group_name_H-M 'C m c m'
_symmetry_Int_Tables_number 63
_symmetry_space_group_name_Hall '-C 2c 2'
_cell_length_a 7.091
_cell_length_b 16.044
_cell_length_c 7.088
_cell_angle_alpha 90.00
_cell_angle_beta 90.00
_cell_angle_gamma 90.00
loop_
_atom_site_label
_atom_site_fract_x
_atom_site_fract_y
_atom_site_fract_z
Pm1 0.000 0.083 0.250
Pm2 0.000 0.408 0.250
Pm3 0.250 0.250 0.000
Hg1 0.000 0.116 0.750
Bi1 0.000 0.391 0.750
C1 0.000 0.249 0.250
```

Computed properties:
crystal system = orthorhombic
DOS(E_F) = 16.58 states/eV per cell
energy of formation = -457.4 meV per atom
total energy = -5.087 eV per atom